# 1
Here is a relaxed structure of Nd2Y3Ga2 from Alexandria. Energies are from PBE-GGA.

## Properties
Energy of formation from the pure elements: -0.3230 eV/atom
Volume: 204.64 Å³/f.u.

Cell and atoms, written as CIF:
```
data_Nd2Y3Ga2
_chemical_formula_sum 'Nd4 Y6 Ga4'
_cell_length_a 12.321
_cell_length_b 4.180
_cell_length_c 8.667
_cell_angle_alpha 90.00
_cell_angle_beta 113.54
_cell_angle_gamma 90.00
_symmetry_space_group_name_H-M 'C 1 2/m 1'
_symmetry_Int_Tables_number 12
loop_
_symmetry_equiv_pos_as_xyz
'x,y,z'
'-x,-y,-z'
'-x,y,-z'
'x,-y,z'
'x+1/2,y+1/2,z'
'-x+1/2,-y+1/2,-z'
'-x+1/2,y+1/2,-z'
'x+1/2,-y+1/2,z'
loop_
_atom_site_label
_atom_site_type_symbol
_atom_site_fract_x
_atom_site_fract_y
_atom_site_fract_z
_atom_site_occupancy
Nd1 Nd 0.152 0.000 0.310 1
Y1 Y 0.000 0.500 0.500 1
Y2 Y 0.122 0.500 0.940 1
Ga1 Ga 0.169 0.000 0.716 1
```

# 2
Here is a relaxed structure of NdYZn2Ga2 from Alexandria. Energies are from PBE-GGA.

## Properties
Energy of formation from the pure elements: -0.5733 eV/atom
Volume: 127.42 Å³/f.u.

Cell and atoms, written as CIF:
```
data_NdYZn2Ga2
_chemical_formula_sum 'Nd1 Y1 Zn2 Ga2'
_cell_length_a 4.4490
_cell_length_b 4.4490
_cell_length_c 7.4331
_cell_angle_alpha 90.00
_cell_angle_beta 90.00
_cell_angle_gamma 120.00
_symmetry_space_group_name_H-M 'P -3 m 1'
_symmetry_Int_Tables_number 164
_symmetry_space_group_name_Hall '-P 3 2"'
loop_
_atom_site_label
_atom_site_type_symbol
_atom_site_fract_x
_atom_site_fract_y
_atom_site_fract_z
_atom_site_occupancy
Nd1 Nd 0.0000 0.0000 0.0000 1
Y1 Y 0.0000 0.0000 0.5000 1
Zn1 Zn 0.3333 0.6667 0.2703 1
Ga1 Ga 0.3333 0.6667 0.7372 1
```

Quick rundown of density, same order as above: 5.64, 6.56 g/cm³